# CuPNF2, optimized geometry, DFT PBEsol
data_CuPNF2
_cell_length_a 3.699
_cell_length_b 3.699
_cell_length_c 4.047
_cell_angle_alpha 90.00
_cell_angle_beta 90.00
_cell_angle_gamma 90.00
_space_group_name_H-M_alt 'P 4/m m m'
_space_group_IT_number 123
_space_group_name_Hall '-P 4 2'
loop_
_atom_site_label
_atom_site_fract_x
_atom_site_fract_y
_atom_site_fract_z
Cu1 0.000 0.000 0.000
P1 0.500 0.500 0.500
N1 0.000 0.000 0.500
F1 0.000 0.500 0.000
# **Calculated total energy**: -4.30 eV per atom
# **Total moment**: 0.1 μB per formula unit